Material: Co3IrO
Method: DFT, GGA+U
State: optimized geometry

```
data_Co3IrO
_cell_length_a 3.8792
_cell_length_b 3.8792
_cell_length_c 3.8792
_cell_angle_alpha 90.00
_cell_angle_beta 90.00
_cell_angle_gamma 90.00
_space_group_name_H-M_alt 'P m -3 m'
_space_group_IT_number 221
_space_group_name_Hall '-P 4 2 3'
loop_
_atom_site_label
_atom_site_fract_x
_atom_site_fract_y
_atom_site_fract_z
_atom_site_occupancy
Co1 0.0000 0.0000 0.5000 1
Ir1 0.5000 0.5000 0.5000 1
O1 0.0000 0.0000 0.0000 1
```

## Properties
- Energy above the most stable polymorph in this dataset: 0.000 eV/atom
- Size of the total moment: 1.501 μB per atom